(1)
{"formula": "Nb2Ga2Re", "functional": "PBE", "state": "relaxed", "lattice": [[6.709, 0.000, 0.000], [0.000, 6.709, 0.000], [0.000, 0.000, 3.586]], "species": ["Nb", "Nb", "Nb", "Nb", "Ga", "Ga", "Ga", "Ga", "Re", "Re"], "fractional_positions": [[0.172, 0.328, 0.000], [0.328, 0.828, 0.000], [0.672, 0.172, 0.000], [0.828, 0.672, 0.000], [0.130, 0.630, 0.500], [0.370, 0.130, 0.500], [0.630, 0.870, 0.500], [0.870, 0.370, 0.500], [0.000, 0.000, 0.500], [0.500, 0.500, 0.500]], "e_tot_ha_per_atom": -0.291, "magnetic_moment_mub_per_cell": 0.0, "formation_enthalpy_0k_ev_per_atom": -0.197}

(2)
{"formula": "NbGaRe2", "functional": "PBE", "state": "relaxed", "lattice": [[1.415, 0.817, 9.417], [-1.415, 0.817, 9.417], [0.000, -1.634, 9.417]], "species": ["Nb", "Ga", "Re", "Re"], "fractional_positions": [[0.000, 0.000, 0.000], [0.500, 0.500, 0.500], [0.091, 0.091, 0.091], [0.909, 0.909, 0.909]], "e_tot_ha_per_atom": -0.330, "magnetic_moment_mub_per_cell": 0.0, "formation_enthalpy_0k_ev_per_atom": 0.508}

(3)
{"formula": "NbGaRe", "functional": "PBE", "state": "relaxed", "lattice": [[-1.408, 1.408, 6.093], [1.408, -1.408, 6.093], [1.408, 1.408, -6.093]], "species": ["Nb", "Ga", "Re"], "fractional_positions": [[0.000, 0.000, 0.000], [0.329, 0.329, 0.000], [0.674, 0.674, 0.000]], "e_tot_ha_per_atom": -0.308, "magnetic_moment_mub_per_cell": 0.0, "formation_enthalpy_0k_ev_per_atom": 0.128}